(1)
Density functional theory data (PBE) for a geometry-optimized Zn2Sn2Br7 structure.

Output
Its formation energy (no corrections) is -61.7 kJ per mole of atoms. The calculated density is 3.7 g/cm³.

Cell and atoms, written as CIF:
```
data_Zn2Sn2Br7
_chemical_formula_sum 'Zn4 Sn4 Br14'
_symmetry_space_group_name_H-M 'P 1 21/c 1'
_symmetry_Int_Tables_number 14
_cell_length_a 6.9399
_cell_length_b 15.7059
_cell_length_c 7.7585
_cell_angle_alpha 90.00
_cell_angle_beta 94.15
_cell_angle_gamma 90.00
loop_
_symmetry_equiv_pos_as_xyz
'x,y,z'
'-x,-y,-z'
'-x,y+1/2,-z+1/2'
'x,-y+1/2,z+1/2'
loop_
_atom_site_label
_atom_site_fract_x
_atom_site_fract_y
_atom_site_fract_z
Zn1 0.0977 0.1140 0.3031
Sn1 0.4526 0.6576 0.6022
Br1 0.0000 0.0000 0.5000
Br2 0.1968 0.6978 0.3049
Br3 0.2719 0.0525 0.0617
Br4 0.3300 0.2020 0.4997
```

---

(2)
Density functional theory data (PBE) for a geometry-optimized ZnSnBr4 structure.

Output
Its formation energy (no corrections) is -73.1 kJ per mole of atoms. As for the energy above the lowest structure with this stoichiometry: 19 meV/atom. The calculated density is 4.1 g/cm³.

Cell and atoms, written as CIF:
```
data_ZnSnBr4
_chemical_formula_sum 'Zn4 Sn4 Br16'
_symmetry_space_group_name_H-M 'P 1 21/c 1'
_symmetry_Int_Tables_number 14
_cell_length_a 6.4291
_cell_length_b 6.8432
_cell_length_c 18.5265
_cell_angle_alpha 90.00
_cell_angle_beta 91.47
_cell_angle_gamma 90.00
loop_
_symmetry_equiv_pos_as_xyz
'x,y,z'
'-x,-y,-z'
'-x,y+1/2,-z+1/2'
'x,-y+1/2,z+1/2'
loop_
_atom_site_label
_atom_site_fract_x
_atom_site_fract_y
_atom_site_fract_z
Zn1 0.2413 0.0018 0.1174
Sn1 0.2634 0.0180 0.3384
Br1 0.0062 0.6635 0.7042
Br2 0.0440 0.2436 0.5615
Br3 0.4607 0.7476 0.5654
Br4 0.4812 0.1544 0.2113
```

---

(3)
Density functional theory data (PBE) for a geometry-optimized Zn3SnBr structure.

Output
Its formation energy (no corrections) is 60.6 kJ per mole of atoms. As for the energy above the lowest structure with this stoichiometry: 528 meV/atom. The calculated density is 4.8 g/cm³.

Cell and atoms, written as CIF:
```
data_Zn3SnBr
_chemical_formula_sum 'Zn3 Sn1 Br1'
_symmetry_space_group_name_H-M 'P m -3 m'
_symmetry_Int_Tables_number 221
_symmetry_space_group_name_Hall '-P 4 2 3'
_cell_length_a 5.1617
_cell_length_b 5.1617
_cell_length_c 5.1617
_cell_angle_alpha 90.00
_cell_angle_beta 90.00
_cell_angle_gamma 90.00
loop_
_atom_site_label
_atom_site_fract_x
_atom_site_fract_y
_atom_site_fract_z
Zn1 0.0000 0.0000 0.5000
Sn1 0.5000 0.5000 0.5000
Br1 0.0000 0.0000 0.0000
```

---

(4)
Density functional theory data (PBE) for a geometry-optimized Zn2SnBr structure.

Output
Its formation energy (no corrections) is -3.3 kJ per mole of atoms. As for the energy above the lowest structure with this stoichiometry: 0 meV/atom. The calculated density is 4.5 g/cm³.

Cell and atoms, written as CIF:
```
data_Zn2SnBr
_chemical_formula_sum 'Zn8 Sn4 Br4'
_symmetry_space_group_name_H-M 'I -4 2 d'
_symmetry_Int_Tables_number 122
_symmetry_space_group_name_Hall 'I -4 2bw'
_cell_length_a 6.3220
_cell_length_b 6.3220
_cell_length_c 12.1371
_cell_angle_alpha 90.00
_cell_angle_beta 90.00
_cell_angle_gamma 90.00
loop_
_atom_site_label
_atom_site_fract_x
_atom_site_fract_y
_atom_site_fract_z
Zn1 0.2354 0.2500 0.1250
Sn1 0.0000 0.0000 0.0000
Br1 0.0000 0.0000 0.5000
```

---

(5)
Density functional theory data (PBE) for a geometry-optimized Zn2SnBr structure.

Output
Its formation energy (no corrections) is 22.9 kJ per mole of atoms. As for the energy above the lowest structure with this stoichiometry: 272 meV/atom. The calculated density is 5.8 g/cm³.

Cell and atoms, written as CIF:
```
data_Zn2SnBr
_chemical_formula_sum 'Zn8 Sn4 Br4'
_symmetry_space_group_name_H-M 'F m -3 m'
_symmetry_Int_Tables_number 225
_symmetry_space_group_name_Hall '-F 4 2 3'
_cell_length_a 7.2271
_cell_length_b 7.2271
_cell_length_c 7.2271
_cell_angle_alpha 90.00
_cell_angle_beta 90.00
_cell_angle_gamma 90.00
loop_
_atom_site_label
_atom_site_fract_x
_atom_site_fract_y
_atom_site_fract_z
Zn1 0.2500 0.2500 0.2500
Sn1 0.0000 0.0000 0.0000
Br1 0.0000 0.0000 0.5000
```

---

(6)
Density functional theory data (PBE) for a geometry-optimized ZnSn2Br structure.

Output
Its formation energy (no corrections) is 13.5 kJ per mole of atoms. As for the energy above the lowest structure with this stoichiometry: 0 meV/atom. The calculated density is 6.3 g/cm³.

Cell and atoms, written as CIF:
```
data_ZnSn2Br
_chemical_formula_sum 'Zn4 Sn8 Br4'
_symmetry_space_group_name_H-M 'F m -3 m'
_symmetry_Int_Tables_number 225
_symmetry_space_group_name_Hall '-F 4 2 3'
_cell_length_a 7.3831
_cell_length_b 7.3831
_cell_length_c 7.3831
_cell_angle_alpha 90.00
_cell_angle_beta 90.00
_cell_angle_gamma 90.00
loop_
_atom_site_label
_atom_site_fract_x
_atom_site_fract_y
_atom_site_fract_z
Zn1 0.0000 0.0000 0.0000
Sn1 0.2500 0.2500 0.2500
Br1 0.0000 0.0000 0.5000
```

---

(7)
Density functional theory data (PBE) for a geometry-optimized ZnSnBr4 structure.

Output
Its formation energy (no corrections) is -74.9 kJ per mole of atoms. As for the energy above the lowest structure with this stoichiometry: 0 meV/atom. The calculated density is 3.8 g/cm³.

Cell and atoms, written as CIF:
```
data_ZnSnBr4
_chemical_formula_sum 'Zn4 Sn4 Br16'
_symmetry_space_group_name_H-M 'C 1 2/c 1'
_symmetry_Int_Tables_number 15
_cell_length_a 7.9061
_cell_length_b 22.7631
_cell_length_c 6.2233
_cell_angle_alpha 90.00
_cell_angle_beta 128.31
_cell_angle_gamma 90.00
loop_
_symmetry_equiv_pos_as_xyz
'x,y,z'
'-x,-y,-z'
'-x,y,-z+1/2'
'x,-y,z+1/2'
'x+1/2,y+1/2,z'
'-x+1/2,-y+1/2,-z'
'-x+1/2,y+1/2,-z+1/2'
'x+1/2,-y+1/2,z+1/2'
loop_
_atom_site_label
_atom_site_fract_x
_atom_site_fract_y
_atom_site_fract_z
Zn1 0.0000 0.1215 0.2500
Sn1 0.0000 0.4085 0.7500
Br1 0.2143 0.0603 0.6556
Br2 0.2486 0.3186 0.7676
```

---

(8)
Density functional theory data (PBE) for a geometry-optimized ZnSnBr3 structure.

Output
Its formation energy (no corrections) is -33.2 kJ per mole of atoms. The calculated density is 5.0 g/cm³.

Cell and atoms, written as CIF:
```
data_ZnSnBr3
_chemical_formula_sum 'Zn1 Sn1 Br3'
_symmetry_space_group_name_H-M 'P m -3 m'
_symmetry_Int_Tables_number 221
_symmetry_space_group_name_Hall '-P 4 2 3'
_cell_length_a 5.1920
_cell_length_b 5.1920
_cell_length_c 5.1920
_cell_angle_alpha 90.00
_cell_angle_beta 90.00
_cell_angle_gamma 90.00
loop_
_atom_site_label
_atom_site_fract_x
_atom_site_fract_y
_atom_site_fract_z
Zn1 0.0000 0.0000 0.0000
Sn1 0.5000 0.5000 0.5000
Br1 0.0000 0.0000 0.5000
```